Record 1
Density functional theory data (GGA-PBE) for a geometry-optimized LiPmErFe structure.

Cell and atoms, written as POSCAR:
```
LiPmErFe
1.0
0.000 3.454 3.454
3.454 0.000 3.454
3.454 3.454 0.000
Li Pm Er Fe
1 1 1 1
direct
0.000 0.000 0.000
0.750 0.750 0.750
0.250 0.250 0.250
0.500 0.500 0.500
```

Properties
Space-group type: No. 216
Size of the total moment: 0.0 Bohr magnetons per cell
Calculated formation energy: 0.1165 eV/atom

Record 2
Density functional theory data (GGA-PBE) for a geometry-optimized LiSmErFe structure.

Cell and atoms, written as POSCAR:
```
LiSmErFe
1.0
0.000 3.445 3.445
3.445 0.000 3.445
3.445 3.445 0.000
Li Sm Er Fe
1 1 1 1
direct
0.000 0.000 0.000
0.250 0.250 0.250
0.750 0.750 0.750
0.500 0.500 0.500
```

Properties
Space-group type: No. 216
Size of the total moment: 0.0 Bohr magnetons per cell
Calculated formation energy: 0.1076 eV/atom

Record 3
Density functional theory data (GGA-PBE) for a geometry-optimized LiTbErFe structure.

Cell and atoms, written as POSCAR:
```
LiTbErFe
1.0
0.000 3.416 3.416
3.416 0.000 3.416
3.416 3.416 0.000
Li Tb Er Fe
1 1 1 1
direct
0.000 0.000 0.000
0.750 0.750 0.750
0.250 0.250 0.250
0.500 0.500 0.500
```

Properties
Space-group type: No. 216
Size of the total moment: 0.0 Bohr magnetons per cell
Calculated formation energy: 0.0784 eV/atom

| no. | raw total energy (eV per atom) |
| --- | --- |
| 1 | -4.81 |
| 2 | -4.81 |
| 3 | -4.81 |